A relaxed structure of Sm3CoBr, computed with PBE-GGA.

Cell: 3.748 9.577 8.078 Å, 90.00 90.00 90.00°
Positions (direct):
Sm  0.250  0.425  0.162
Sm  0.750  0.575  0.838
Sm  0.250  0.075  0.162
Sm  0.750  0.925  0.838
Sm  0.250  0.250  0.759
Sm  0.750  0.750  0.241
Co  0.750  0.250  0.989
Co  0.250  0.750  0.011
Br  0.750  0.250  0.439
Br  0.250  0.750  0.561

Distance to the lowest polymorph of the same formula: 63 meV/atom
Crystal system: orthorhombic
Formation energy without anion corrections: -43.5 kJ per mole of atoms


A relaxed structure of Rb3Ce3HfTe8, computed with PBE-GGA.

Cell: 9.069 9.070 10.202 Å, 116.39 89.99 120.00°
Positions (direct):
Rb  0.000  0.000  0.000
Rb  0.000  0.500  0.000
Rb  0.500  0.500  0.000
Ce  0.500  0.000  0.500
Ce  0.500  0.500  0.500
Ce  0.000  0.500  0.500
Hf  0.000  0.000  0.500
Te  0.264  0.529  0.293
Te  0.736  0.471  0.707
Te  0.782  0.563  0.308
Te  0.218  0.437  0.692
Te  0.782  0.026  0.308
Te  0.218  0.974  0.692
Te  0.244  0.026  0.308
Te  0.756  0.974  0.692

Crystal system: trigonal
Formation energy without anion corrections: -117.3 kJ per mole of atoms


A relaxed structure of Y2Ge3Pt9, computed with PBE-GGA.

Cell: 7.820 7.820 10.136 Å, 67.09 67.09 60.29°
Positions (direct):
Y  0.416  0.246  0.251
Y  0.584  0.754  0.749
Y  0.754  0.584  0.249
Y  0.246  0.416  0.751
Ge  0.500  0.000  0.000
Ge  0.000  0.500  0.500
Ge  0.639  0.182  0.497
Ge  0.361  0.818  0.503
Ge  0.818  0.361  0.003
Ge  0.182  0.639  0.997
Pt  0.297  0.914  0.258
Pt  0.703  0.086  0.742
Pt  0.086  0.703  0.242
Pt  0.914  0.297  0.758
Pt  0.477  0.642  0.077
Pt  0.523  0.358  0.923
Pt  0.358  0.523  0.423
Pt  0.642  0.477  0.577
Pt  0.866  0.134  0.250
Pt  0.134  0.866  0.750
Pt  0.799  0.977  0.076
Pt  0.201  0.023  0.924
Pt  0.023  0.201  0.424
Pt  0.977  0.799  0.576
Pt  0.695  0.859  0.420
Pt  0.305  0.141  0.580
Pt  0.141  0.305  0.080
Pt  0.859  0.695  0.920

Crystal system: monoclinic
Energy relative to the elements: -0.79 eV per atom


A relaxed structure of Fe2IrCl, computed with PBE-GGA.

Cell: 5.189 5.189 5.189 Å, 138.97 138.97 59.42°
Positions (direct):
Ir  0.500  0.500  0.000
Fe  0.000  0.000  0.000
Fe  0.250  0.750  0.500
Cl  0.750  0.250  0.500

Distance to the lowest polymorph of the same formula: 603 meV/atom
Crystal system: tetragonal
Formation energy without anion corrections: 70.6 kJ per mole of atoms


A relaxed structure of CaPuBiAu, computed with PBE-GGA.

Cell: 5.379 5.379 5.379 Å, 60.00 60.00 60.00°
Positions (direct):
Ca  0.500  0.500  0.500
Au  0.750  0.750  0.750
Bi  0.250  0.250  0.250
Pu  0.000  0.000  0.000

Crystal system: cubic
Energy relative to the elements: -0.56 eV per atom


A relaxed structure of TaH2F8, computed with PBE-GGA.

Cell: 4.997 5.549 5.549 Å, 70.67 84.59 84.59°
Positions (direct):
Ta  0.000  0.000  0.000
H  0.487  0.286  0.286
H  0.513  0.714  0.714
F  0.803  0.118  0.697
F  0.197  0.303  0.882
F  0.727  0.170  0.170
F  0.273  0.830  0.830
F  0.803  0.697  0.118
F  0.197  0.882  0.303
F  0.314  0.349  0.349
F  0.686  0.651  0.651

Distance to the lowest polymorph of the same formula: 34 meV/atom
Crystal system: monoclinic


A relaxed structure of AcGa2Pd8, computed with PBE-GGA.

Cell: 5.492 5.492 7.847 Å, 90.00 90.00 90.00°
Positions (direct):
Ac  0.500  0.500  0.500
Ga  0.500  0.000  0.000
Ga  0.000  0.500  0.000
Pd  0.754  0.754  0.209
Pd  0.754  0.246  0.791
Pd  0.754  0.754  0.791
Pd  0.754  0.246  0.209
Pd  0.246  0.754  0.209
Pd  0.246  0.754  0.791
Pd  0.246  0.246  0.209
Pd  0.246  0.246  0.791

Crystal system: tetragonal
Energy relative to the elements: -0.24 eV per atom


A relaxed structure of Tb2PmTmSc, computed with PBE-GGA.

Cell: 7.090 8.181 6.948 Å, 126.07 90.00 90.00°
Positions (direct):
Tb  0.500  0.302  0.000
Tb  0.000  0.698  0.000
Tb  0.500  0.698  0.000
Tb  0.000  0.302  0.000
Pm  0.250  0.731  0.461
Pm  0.750  0.269  0.539
Tm  0.750  0.733  0.467
Tm  0.250  0.267  0.533
Sc  0.250  0.995  0.991
Sc  0.750  0.005  0.009

Crystal system: orthorhombic
Energy relative to the elements: 0.35 eV per atom


A relaxed structure of Li2HfGa2, computed with PBE-GGA.

Cell: 3.721 3.721 6.676 Å, 73.82 73.82 90.00°
Positions (direct):
Hf  0.000  0.000  0.000
Ga  0.400  0.400  0.201
Ga  0.600  0.600  0.799
Li  0.750  0.250  0.500
Li  0.250  0.750  0.500

Distance to the lowest polymorph of the same formula: 10 meV/atom
Crystal system: tetragonal
Energy relative to the elements: -0.23 eV per atom


A relaxed structure of La2ScTc, computed with PBE-GGA.

Cell: 9.870 9.870 9.870 Å, 20.86 20.86 20.86°
Positions (direct):
La  0.012  0.012  0.012
La  0.488  0.488  0.488
Sc  0.250  0.250  0.250
Tc  0.750  0.750  0.750

Distance to the lowest polymorph of the same formula: 280 meV/atom
Crystal system: trigonal
Energy relative to the elements: 0.31 eV per atom


A relaxed structure of Sm3TmRh8, computed with PBE-GGA.

Cell: 5.367 5.367 9.297 Å, 73.22 73.22 60.00°
Positions (direct):
Sm  0.375  0.375  0.875
Sm  0.000  0.000  0.001
Sm  0.501  0.501  0.498
Tm  0.875  0.875  0.376
Rh  0.936  0.437  0.190
Rh  0.439  0.938  0.685
Rh  0.437  0.437  0.190
Rh  0.938  0.938  0.685
Rh  0.188  0.188  0.437
Rh  0.687  0.687  0.938
Rh  0.437  0.936  0.190
Rh  0.938  0.439  0.685

Crystal system: trigonal
Energy relative to the elements: -0.71 eV per atom


A relaxed structure of Cs2KRbNa, computed with PBE-GGA.

Cell: 7.989 7.989 7.657 Å, 90.00 90.00 90.00°
Positions (direct):
Cs  0.000  0.500  0.000
Cs  0.500  0.000  0.000
Na  0.000  0.000  0.000
K  0.500  0.500  0.500
Rb  0.000  0.000  0.500

Distance to the lowest polymorph of the same formula: 33 meV/atom
Crystal system: tetragonal
Energy relative to the elements: 0.09 eV per atom


Short version: uncorrected energy = -50.4 -74.0 -184.5 -24.7 -25.8 -58.1 -54.3 -46.2 -21.0 -25.3 -86.0 -4.6 eV/cell, in the order given.